Cd2BiIrI (GGA-PBE, relaxed); energy above the lowest structure with this stoichiometry = 1604 meV/atom; total DFT energy (no corrections) = -1.57 eV per atom; SG = P4/mmm; ΔE_f (raw) = 1652.8 meV per atom
1.0
-2.622 2.124 -4.337
-2.728 -5.283 -0.939
-4.137 1.557 3.264
I Ir Bi Cd
1 1 1 2
direct
0.000 0.000 0.000
0.500 0.500 0.500
0.000 0.500 0.000
0.000 0.000 0.500
0.500 0.000 0.000